Crystalline RbTe2SI at its relaxed geometry, computed with PBE-GGA.

The uncorrected formation energy comes out at 0.948 eV/atom.

It has space group P4/mmm (No. 123), with a = 7.149 Å, b = 7.149 Å, c = 6.871 Å, α = 90.00°, β = 90.00° and γ = 90.00°. The asymmetric unit holds Rb at (0.000, 0.000, 0.000), Te at (0.000, 0.500, 0.000), S at (0.500, 0.500, 0.500) and I at (0.000, 0.000, 0.500).

Crystalline Pm2MgZn7 at its relaxed geometry, computed with PBE-GGA.

The formation energy is -0.294 eV per atom.

It has space group P-4m2 (No. 115), with a = 4.205 Å, b = 4.205 Å, c = 11.144 Å, α = 90.00°, β = 90.00° and γ = 90.00°. The asymmetric unit holds Pm at (0.000, 0.500, 0.234), Mg at (0.000, 0.000, 0.500), Zn at (0.000, 0.000, 0.000), Zn at (0.000, 0.500, 0.649), Zn at (0.000, 0.500, 0.872), Zn at (0.500, 0.500, 0.000) and Zn at (0.500, 0.500, 0.500).

Crystalline Pm2YGeC at its relaxed geometry, computed with PBE-GGA.

The formation energy is -0.310 eV per atom.

It has space group Cmcm (No. 63), with a = 3.719 Å, b = 17.114 Å, c = 7.597 Å, α = 90.00°, β = 90.00° and γ = 90.00°. The asymmetric unit holds Pm at (0.000, 0.146, 0.026), Y at (0.000, 0.490, 0.250), Ge at (0.000, 0.303, 0.250) and C at (0.000, 0.000, 0.000).

Crystalline PrGd2O at its relaxed geometry, computed with PBE-GGA.

The uncorrected formation energy comes out at -1.318 eV/atom.

It has space group R-3m (No. 166, hexagonal axes), with a = 3.5883 Å, b = 3.5883 Å, c = 26.9623 Å, α = 90.00°, β = 90.00° and γ = 120.00°. The asymmetric unit holds Pr at (0.0000, 0.0000, 0.0000), Gd at (0.0000, 0.0000, 0.2179) and O at (0.0000, 0.0000, 0.5000).

Crystalline NaSr4 at its relaxed geometry, computed with PBE-GGA.

The formation energy is 0.057 eV per atom.

It has space group P2/m (No. 10), with a = 6.617 Å, b = 4.098 Å, c = 10.290 Å, α = 90.00°, β = 108.54° and γ = 90.00°. The asymmetric unit holds Na at (0.000, 0.000, 0.000), Sr at (0.198, 0.000, 0.394) and Sr at (0.392, 0.500, 0.787).

Crystalline ZrMo at its relaxed geometry, computed with PBE-GGA.

The formation energy is 0.059 eV per atom.

It has space group P2_1/m (No. 11), with a = 3.086 Å, b = 4.531 Å, c = 5.572 Å, α = 90.00°, β = 103.47° and γ = 90.00°. The asymmetric unit holds Zr at (0.149, 0.250, 0.361) and Mo at (0.399, 0.750, 0.107).

Crystalline TaP2OsO at its relaxed geometry, computed with PBE-GGA.

The uncorrected formation energy comes out at 0.361 eV/atom.

It has space group P4/mmm (No. 123), with a = 4.889 Å, b = 4.889 Å, c = 3.746 Å, α = 90.00°, β = 90.00° and γ = 90.00°. The asymmetric unit holds Ta at (0.000, 0.000, 0.000), P at (0.000, 0.500, 0.000), Os at (0.500, 0.500, 0.500) and O at (0.000, 0.000, 0.500).

Crystalline La3Zr at its relaxed geometry, computed with PBE-GGA.

The formation energy is 0.129 eV per atom.

It has space group Pmmm (No. 47), with a = 3.502 Å, b = 5.137 Å, c = 7.102 Å, α = 90.00°, β = 90.00° and γ = 90.00°. The asymmetric unit holds La at (0.000, 0.000, 0.000), La at (0.500, 0.500, 0.270) and Zr at (0.000, 0.000, 0.500).

no.,volume (Å³ per atom)
1,70.2
2,19.7
3,24.2
4,25.1
5,52.9
6,18.9
7,17.9
8,31.9